Density functional theory data (GGA-PBE) for a relaxed Nd2Zn3CuNi12 crystal.

## Properties
- magnetic moment (μB per atom) = 0.00
- DFT formation energy (meV per atom) = 131
- density of states at the Fermi level (states/eV/cell) = 20.9
- crystal system = trigonal

Unit cell a=9.2787 b=9.2787 c=9.2787 alpha=37.89 beta=37.89 gamma=37.89
Last column: nearest neighbours and their distance in Å.
Fractional coordinates of all 18 atoms:
Nd 0.1553 0.1553 0.1553  6 Ni 2.95-2.99
Nd 0.8447 0.8447 0.8447  6 Ni 2.95-2.99
Zn 0.0000 0.5000 0.5000  6 Ni 2.38-2.48
Zn 0.5000 0.0000 0.5000  6 Ni 2.38-2.48
Zn 0.5000 0.5000 0.0000  6 Ni 2.38-2.48
Cu 0.5000 0.5000 0.5000  6 Ni 2.34
Ni 0.0776 0.0776 0.6883  4 Ni 2.35-2.36, 2 Zn 2.38
Ni 0.0776 0.6883 0.0776  4 Ni 2.35-2.36, 2 Zn 2.38
Ni 0.1520 0.5671 0.5671  1 Cu 2.34, 4 Ni 2.36-2.50, 1 Zn 2.48
Ni 0.3117 0.9224 0.9224  4 Ni 2.35-2.36, 2 Zn 2.38
Ni 0.4329 0.4329 0.8480  1 Cu 2.34, 4 Ni 2.36-2.50, 1 Zn 2.48
Ni 0.4329 0.8480 0.4329  1 Cu 2.34, 4 Ni 2.36-2.50, 1 Zn 2.48
Ni 0.5671 0.1520 0.5671  1 Cu 2.34, 4 Ni 2.36-2.50, 1 Zn 2.48
Ni 0.5671 0.5671 0.1520  1 Cu 2.34, 4 Ni 2.36-2.50, 1 Zn 2.48
Ni 0.6883 0.0776 0.0776  4 Ni 2.35-2.36, 2 Zn 2.38
Ni 0.8480 0.4329 0.4329  1 Cu 2.34, 4 Ni 2.36-2.50, 1 Zn 2.48
Ni 0.9224 0.3117 0.9224  4 Ni 2.35-2.36, 2 Zn 2.38
Ni 0.9224 0.9224 0.3117  4 Ni 2.35-2.36, 2 Zn 2.38

---

Density functional theory data (GGA-PBE) for a relaxed Tb5YSc2 crystal.

## Properties
- polymorph energy (0 for the lowest one) (eV per formula unit) = 0.56
- magnetic moment (μB per atom) = 0.03
- DFT formation energy (meV per atom) = 116
- density of states at the Fermi level (states/eV/cell) = 18.0
- crystal system = tetragonal

Unit cell a=8.7903 b=8.7903 c=8.7903 alpha=119.32 beta=119.32 gamma=91.18
Last column: nearest neighbours and their distance in Å.
Fractional coordinates of all 16 atoms:
Tb 0.0000 0.0000 0.0000  2 Y 3.08, 4 Sc 3.40
Tb 0.0089 0.5089 0.2009  3 Sc 3.23-3.27, 3 Tb 3.38-3.48, 2 Y 3.57
Tb 0.1920 0.9911 0.5000  3 Sc 3.23-3.27, 3 Tb 3.38-3.48, 2 Y 3.57
Tb 0.3080 0.8080 0.7991  3 Sc 3.23-3.27, 3 Tb 3.38-3.48, 2 Y 3.57
Tb 0.4911 0.6920 0.5000  3 Sc 3.23-3.27, 3 Tb 3.38-3.48, 2 Y 3.57
Tb 0.5000 0.5000 0.0000  2 Y 3.08, 4 Sc 3.40
Tb 0.5089 0.3080 0.5000  3 Sc 3.23-3.27, 3 Tb 3.38-3.48, 2 Y 3.57
Tb 0.6920 0.1920 0.2009  3 Sc 3.23-3.27, 3 Tb 3.38-3.48, 2 Y 3.57
Tb 0.8080 0.0089 0.5000  3 Sc 3.23-3.27, 3 Tb 3.38-3.48, 2 Y 3.57
Tb 0.9911 0.4911 0.7991  3 Sc 3.23-3.27, 3 Tb 3.38-3.48, 2 Y 3.57
Y 0.2500 0.2500 0.0000  2 Tb 3.08
Y 0.7500 0.7500 0.0000  2 Tb 3.08
Sc 0.1458 0.3542 0.5000  8 Tb 3.23-3.40
Sc 0.3542 0.8542 0.2083  8 Tb 3.23-3.40
Sc 0.6458 0.1458 0.7917  8 Tb 3.23-3.40
Sc 0.8542 0.6458 0.5000  8 Tb 3.23-3.40

---

Density functional theory data (GGA-PBE) for a relaxed Y4Te2RhSe crystal.

## Properties
- total DFT energy (no corrections) (Ry/atom) = -0.4910
- magnetic moment (μB per atom) = 0.00
- density of states at the Fermi level (states/eV/cell) = 5.9
- crystal system = monoclinic

Unit cell a=7.4024 b=4.1442 c=7.4791 alpha=90.00 beta=108.47 gamma=90.00
Last column: nearest neighbours and their distance in Å.
Fractional coordinates of all 8 atoms:
Y 0.2209 0.0000 0.2084  2 Rh 2.79, 1 Se 2.96, 1 Te 3.11
Y 0.2472 0.5000 0.7808  1 Rh 2.82, 2 Se 2.92, 2 Te 3.10
Y 0.7528 0.5000 0.2192  1 Rh 2.82, 2 Se 2.92, 2 Te 3.10
Y 0.7791 0.0000 0.7916  2 Rh 2.79, 1 Se 2.96, 1 Te 3.11
Te 0.0000 0.0000 0.5000  6 Y 3.10-3.11
Te 0.5000 0.5000 0.5000  6 Y 3.23
Rh 0.0000 0.5000 0.0000  6 Y 2.79-2.82
Se 0.5000 0.0000 0.0000  6 Y 2.92-2.96

---

Density functional theory data (GGA-PBE) for a relaxed CaLaIn crystal.

## Properties
- polymorph energy (0 for the lowest one) (eV per formula unit) = 1.88
- magnetic moment (μB per atom) = 0.00
- DFT formation energy (meV per atom) = 181
- density of states at the Fermi level (states/eV/cell) = 0.9
- crystal system = cubic

Unit cell a=5.3816 b=5.3816 c=5.3816 alpha=60.00 beta=60.00 gamma=60.00
Last column: nearest neighbours and their distance in Å.
Fractional coordinates of all 3 atoms:
Ca 0.0000 0.0000 0.0000  4 La 3.30
La 0.2500 0.2500 0.2500  4 In 3.30, 4 Ca 3.30
In 0.5000 0.5000 0.5000  4 La 3.30